No. 1
{
  "formula": "Pa2TiSb",
  "functional": "PBE",
  "state": "optimized geometry",
  "m_tot_mub_per_fu": 0.0,
  "e_above_lowest_polymorph_ev_per_atom": 0.414,
  "crystal_system": "cubic",
  "raw_formation_energy_ev_per_atom": 0.154,
  "sg": "Fm-3m (225)",
  "density_g_cm3": 10.857,
  "lattice_angstrom": [[-3.532, -3.730, -0.383], [0.358, -4.200, 2.960], [-3.373, -0.755, 3.818]],
  "species": ["Sb", "Ti", "Pa", "Pa"],
  "frac_coords": [[0.000, 0.000, 0.000], [0.500, 0.500, 0.500], [0.250, 0.250, 0.250], [0.750, 0.750, 0.750]]
}

No. 2
{
  "formula": "SmTiZnGa",
  "functional": "PBE",
  "state": "optimized geometry",
  "m_tot_mub_per_fu": 0.0,
  "crystal_system": "cubic",
  "formation_enthalpy_0k_ev_per_atom": -0.262,
  "sg": "F-43m (216)",
  "density_g_cm3": 6.997,
  "lattice_angstrom": [[4.819, 0.000, 0.000], [2.409, 4.173, 0.000], [2.409, 1.391, 3.934]],
  "species": ["Ti", "Sm", "Zn", "Ga"],
  "frac_coords": [[0.250, 0.250, 0.250], [0.750, 0.750, 0.750], [0.000, 0.000, 0.000], [0.500, 0.500, 0.500]]
}

No. 3
{
  "formula": "MgBPd3",
  "functional": "PBE",
  "state": "optimized geometry",
  "m_tot_mub_per_fu": 0.0,
  "e_above_lowest_polymorph_ev_per_atom": 0.268,
  "crystal_system": "orthorhombic",
  "formation_enthalpy_0k_ev_per_atom": -0.217,
  "sg": "Pnma (62)",
  "density_g_cm3": 7.643,
  "lattice_angstrom": [[5.165, 0.000, 0.000], [0.000, 8.029, 0.000], [0.000, 0.000, 7.427]],
  "species": ["B", "B", "B", "B", "Pd", "Pd", "Pd", "Pd", "Pd", "Pd", "Pd", "Pd", "Pd", "Pd", "Pd", "Pd", "Mg", "Mg", "Mg", "Mg"],
  "frac_coords": [[0.792, 0.250, 0.362], [0.208, 0.750, 0.638], [0.708, 0.750, 0.862], [0.292, 0.250, 0.138], [0.485, 0.080, 0.331], [0.515, 0.920, 0.669], [0.015, 0.580, 0.831], [0.219, 0.250, 0.852], [0.015, 0.920, 0.831], [0.515, 0.580, 0.669], [0.985, 0.080, 0.169], [0.281, 0.750, 0.352], [0.781, 0.750, 0.148], [0.485, 0.420, 0.331], [0.719, 0.250, 0.648], [0.985, 0.420, 0.169], [0.000, 0.500, 0.500], [0.500, 0.500, 0.000], [0.500, 0.000, 0.000], [0.000, 0.000, 0.500]]
}

No. 4
{
  "formula": "SmY2NbN4",
  "functional": "PBE",
  "state": "optimized geometry",
  "m_tot_mub_per_fu": 0.0,
  "crystal_system": "orthorhombic",
  "raw_formation_energy_ev_per_atom": -1.243,
  "sg": "Cmcm (63)",
  "density_g_cm3": 6.435,
  "lattice_angstrom": [[3.404, 0.000, 0.000], [-1.702, 5.950, 0.000], [0.000, 0.000, 12.155]],
  "species": ["Nb", "Nb", "Y", "Y", "Y", "Y", "Sm", "Sm", "N", "N", "N", "N", "N", "N", "N", "N"],
  "frac_coords": [[0.844, 0.687, 0.750], [0.156, 0.313, 0.250], [0.630, 0.260, 0.035], [0.370, 0.740, 0.965], [0.370, 0.740, 0.535], [0.630, 0.260, 0.465], [0.895, 0.790, 0.250], [0.105, 0.210, 0.750], [0.740, 0.480, 0.877], [0.260, 0.520, 0.377], [0.546, 0.093, 0.250], [0.000, 0.000, 0.500], [0.740, 0.480, 0.623], [0.000, 0.000, 0.000], [0.260, 0.520, 0.123], [0.454, 0.907, 0.750]]
}

No. 5
{
  "formula": "SmGa6S8",
  "functional": "PBE",
  "state": "optimized geometry",
  "m_tot_mub_per_fu": 0.0,
  "crystal_system": "trigonal",
  "raw_formation_energy_ev_per_atom": -0.550,
  "sg": "R-3 (148)",
  "density_g_cm3": 4.300,
  "lattice_angstrom": [[-5.152, 3.076, -3.299], [-1.603, -6.239, -2.324], [-3.534, -0.738, 5.819]],
  "species": ["Ga", "Ga", "Ga", "Ga", "Ga", "Ga", "S", "S", "S", "S", "S", "S", "S", "S", "Sm"],
  "frac_coords": [[0.327, 0.618, 0.257], [0.257, 0.327, 0.618], [0.743, 0.673, 0.382], [0.618, 0.257, 0.327], [0.382, 0.743, 0.673], [0.673, 0.382, 0.743], [0.268, 0.268, 0.268], [0.631, 0.927, 0.204], [0.369, 0.073, 0.796], [0.732, 0.732, 0.732], [0.796, 0.369, 0.073], [0.204, 0.631, 0.927], [0.073, 0.796, 0.369], [0.927, 0.204, 0.631], [0.000, 0.000, 0.000]]
}

No. 6
{
  "formula": "AgTe5",
  "functional": "PBE",
  "state": "optimized geometry",
  "m_tot_mub_per_fu": 0.0,
  "e_above_lowest_polymorph_ev_per_atom": 0.305,
  "crystal_system": "tetragonal",
  "raw_formation_energy_ev_per_atom": 0.305,
  "sg": "P4/mmm (123)",
  "density_g_cm3": 7.624,
  "lattice_angstrom": [[-0.567, 3.726, -0.039], [-0.257, 0.000, 3.760], [11.279, 1.723, 0.771]],
  "species": ["Te", "Te", "Te", "Te", "Te", "Ag"],
  "frac_coords": [[0.000, 0.000, 0.500], [0.500, 0.500, 0.667], [0.000, 0.000, 0.853], [0.000, 0.000, 0.147], [0.500, 0.500, 0.333], [0.500, 0.500, 0.000]]
}